Material: CrSbPb2O6
Method: DFT, PBE+U
State: optimized geometry

total moment	0.299	μB/atom
space-group type	P2_1/c, No. 14
calculated density	8.707	g cm⁻³
E_tot	-62.87	eV per formula unit

Unit cell a=5.7343 b=5.6855 c=8.0045 alpha=90.00 beta=90.03 gamma=90.00
Each line ends with the local moment (μB).
Fractional positions:
Cr1 0.5000 0.0000 0.0000  2.94
Cr2 0.0000 0.5000 0.5000  2.94
Sb1 0.5000 0.0000 0.5000  -0.01
Sb2 0.0000 0.5000 0.0000  -0.01
Pb1 0.0083 0.9982 0.2501  0.00
Pb2 0.5083 0.5018 0.7501  0.00
Pb3 0.9917 0.0018 0.7499  0.00
Pb4 0.4917 0.4982 0.2499  0.00
O1 0.2503 0.7457 0.0322  -0.01
O2 0.7503 0.7543 0.5322  -0.01
O3 0.7497 0.2543 0.9678  -0.01
O4 0.2497 0.2457 0.4678  -0.01
O5 0.2555 0.7485 0.4679  -0.01
O6 0.7555 0.7515 0.9679  -0.01
O7 0.7445 0.2515 0.5321  -0.01
O8 0.2445 0.2485 0.0321  -0.01
O9 0.9447 0.5005 0.2476  -0.01
O10 0.4447 0.9995 0.7476  -0.01
O11 0.0553 0.4995 0.7524  -0.01
O12 0.5553 0.0005 0.2524  -0.01